NaLi2NbCo after structural relaxation, computed with PBE-GGA.

Cell: 4.3305 4.3305 4.7202 Å, 90.00 90.00 90.00°
Sites, in units of the cell vectors:
Na 0.0000 0.0000 0.0000
Li 0.0000 0.5000 0.5000
Li 0.5000 0.0000 0.5000
Nb 0.5000 0.5000 0.0000
Co 0.0000 0.0000 0.5000

density of states at the Fermi level = 7.0 states/eV per cell
total DFT energy (no corrections) = -0.11387 Ha/atom
formation energy from the elements = 1.366 eV per atom